(P)
{"formula": "Ce2Te2F", "functional": "GGA-PBE", "state": "optimized geometry", "mass_density_g_cm3": 5.8, "lattice_angstrom": [[-2.1483, 2.1483, 17.3028], [2.1483, -2.1483, 17.3028], [2.1483, 2.1483, -17.3028]], "species": ["Ce", "Ce", "Ce", "Ce", "Te", "Te", "Te", "Te", "F", "F"], "fractional_positions": [[0.0884, 0.3384, 0.7500], [0.3384, 0.0884, 0.2500], [0.6616, 0.9116, 0.7500], [0.9116, 0.6616, 0.2500], [0.1943, 0.4443, 0.7500], [0.4443, 0.1943, 0.2500], [0.5557, 0.8057, 0.7500], [0.8057, 0.5557, 0.2500], [0.1250, 0.8750, 0.2500], [0.8750, 0.1250, 0.7500]]}

=====

(Q)
{"formula": "Ce2Te2F", "functional": "GGA-PBE", "state": "optimized geometry", "mass_density_g_cm3": 6.7, "lattice_angstrom": [[2.0243, -5.6901, 0.0000], [2.0243, 5.6901, 0.0000], [0.0000, 0.0000, 11.9075]], "species": ["Ce", "Ce", "Ce", "Ce", "Te", "Te", "Te", "Te", "F", "F"], "fractional_positions": [[0.0520, 0.9480, 0.5000], [0.2199, 0.7801, 0.7353], [0.7801, 0.2199, 0.2353], [0.9480, 0.0520, 0.0000], [0.0669, 0.9331, 0.2399], [0.3343, 0.6657, 0.4473], [0.6657, 0.3343, 0.9473], [0.9331, 0.0669, 0.7399], [0.3638, 0.6362, 0.1085], [0.6362, 0.3638, 0.6085]]}

=====

Which structure is most stable? (Q), by 48 meV per atom over the runner-up.

=====

(P)
{"formula": "CeTi2F8", "functional": "GGA-PBE", "state": "optimized geometry", "mass_density_g_cm3": 4.1, "lattice_angstrom": [[5.4186, -2.6759, 0.0000], [5.4186, 2.6759, 0.0000], [-0.4781, 0.0000, 5.3890]], "species": ["Ce", "Ti", "Ti", "F", "F", "F", "F", "F", "F", "F", "F"], "fractional_positions": [[0.0000, 0.0000, 0.0000], [0.2690, 0.2690, 0.4789], [0.7310, 0.7310, 0.5211], [0.0950, 0.6052, 0.7390], [0.1270, 0.1270, 0.6917], [0.3908, 0.3908, 0.2514], [0.3948, 0.9050, 0.2610], [0.6052, 0.0950, 0.7390], [0.6092, 0.6092, 0.7486], [0.8730, 0.8730, 0.3083], [0.9050, 0.3948, 0.2610]]}

=====

(Q)
{"formula": "CeTi2F8", "functional": "GGA-PBE", "state": "optimized geometry", "mass_density_g_cm3": 3.7, "lattice_angstrom": [[7.0377, 0.0000, 0.0000], [-3.5189, 6.0948, 0.0000], [0.0000, 0.0000, 4.0895]], "species": ["Ce", "Ti", "Ti", "F", "F", "F", "F", "F", "F", "F", "F"], "fractional_positions": [[0.0000, 0.0000, 0.0000], [0.3333, 0.6667, 0.7291], [0.6667, 0.3333, 0.2709], [0.1732, 0.3464, 0.7418], [0.1732, 0.8268, 0.7418], [0.3333, 0.6667, 0.2329], [0.3464, 0.1732, 0.2582], [0.6536, 0.8268, 0.7418], [0.6667, 0.3333, 0.7671], [0.8268, 0.1732, 0.2582], [0.8268, 0.6536, 0.2582]]}

=====

Which structure is most stable? (P), by 33 meV per atom over the runner-up.

=====

(P)
{"formula": "CeTl2F8", "functional": "GGA-PBE", "state": "optimized geometry", "mass_density_g_cm3": 5.4, "lattice_angstrom": [[7.3949, 0.0000, 0.0000], [-3.6975, 6.4042, 0.0000], [0.0000, 0.0000, 4.5532]], "species": ["Ce", "Tl", "Tl", "F", "F", "F", "F", "F", "F", "F", "F"], "fractional_positions": [[0.0000, 0.0000, 0.0000], [0.3333, 0.6667, 0.7203], [0.6667, 0.3333, 0.2797], [0.1452, 0.2904, 0.7506], [0.1452, 0.8548, 0.7506], [0.2904, 0.1452, 0.2494], [0.3333, 0.6667, 0.2215], [0.6667, 0.3333, 0.7785], [0.7096, 0.8548, 0.7506], [0.8548, 0.1452, 0.2494], [0.8548, 0.7096, 0.2494]]}

=====

(Q)
{"formula": "CeTl2F8", "functional": "GGA-PBE", "state": "optimized geometry", "mass_density_g_cm3": 6.4, "lattice_angstrom": [[6.1490, -2.8623, 0.0000], [6.1490, 2.8623, 0.0000], [-1.9607, 0.0000, 5.1929]], "species": ["Ce", "Tl", "Tl", "F", "F", "F", "F", "F", "F", "F", "F"], "fractional_positions": [[0.0000, 0.0000, 0.0000], [0.3403, 0.3403, 0.4279], [0.6597, 0.6597, 0.5721], [0.0661, 0.6154, 0.7536], [0.0897, 0.0897, 0.7395], [0.3846, 0.9339, 0.2464], [0.4732, 0.4732, 0.2353], [0.5268, 0.5268, 0.7647], [0.6154, 0.0661, 0.7536], [0.9103, 0.9103, 0.2605], [0.9339, 0.3846, 0.2464]]}

=====

Which structure is most stable? (P), by 63 meV per atom over the runner-up.

=====

(P)
{"formula": "Ce2TlF", "functional": "GGA-PBE", "state": "optimized geometry", "mass_density_g_cm3": 8.6, "lattice_angstrom": [[1.9072, 1.1011, 7.7418], [-1.9072, 1.1011, 7.7418], [0.0000, -2.2022, 7.7418]], "species": ["Ce", "Ce", "Tl", "F"], "fractional_positions": [[0.2257, 0.2257, 0.2257], [0.7743, 0.7743, 0.7743], [0.0000, 0.0000, 0.0000], [0.5000, 0.5000, 0.5000]]}

=====

(Q)
{"formula": "Ce2TlF", "functional": "GGA-PBE", "state": "optimized geometry", "mass_density_g_cm3": 9.3, "lattice_angstrom": [[3.2850, 0.0000, 0.0000], [0.0000, 3.2850, 0.0000], [0.0000, 0.0000, 8.3420]], "species": ["Ce", "Ce", "Tl", "F"], "fractional_positions": [[0.0000, 0.0000, 0.2116], [0.0000, 0.0000, 0.7884], [0.5000, 0.5000, 0.5000], [0.5000, 0.5000, 0.0000]]}

=====

Which structure is most stable? (P), by 200 meV per atom over the runner-up.

=====

(P)
{"formula": "CeTlF", "functional": "GGA-PBE", "state": "optimized geometry", "mass_density_g_cm3": 8.7, "lattice_angstrom": [[1.9267, -7.8251, 0.0000], [1.9267, 7.8251, 0.0000], [0.0000, 0.0000, 4.5771]], "species": ["Ce", "Ce", "Tl", "Tl", "F", "F"], "fractional_positions": [[0.1499, 0.8501, 0.7500], [0.8501, 0.1499, 0.2500], [0.4410, 0.5590, 0.7500], [0.5590, 0.4410, 0.2500], [0.2553, 0.7447, 0.2500], [0.7447, 0.2553, 0.7500]]}

=====

(Q)
{"formula": "CeTlF", "functional": "GGA-PBE", "state": "optimized geometry", "mass_density_g_cm3": 8.3, "lattice_angstrom": [[-1.7188, 1.7188, 6.1622], [1.7188, -1.7188, 6.1622], [1.7188, 1.7188, -6.1622]], "species": ["Ce", "Tl", "F"], "fractional_positions": [[0.0000, 0.0000, 0.0000], [0.2772, 0.2772, 0.0000], [0.5427, 0.5427, 0.0000]]}

=====

Which structure is most stable? (P), by 290 meV per atom over the runner-up.

=====

(P)
{"formula": "Ce2TmF8", "functional": "GGA-PBE", "state": "optimized geometry", "mass_density_g_cm3": 6.6, "lattice_angstrom": [[7.4677, -1.9939, 0.0000], [7.4677, 1.9939, 0.0000], [-1.7988, 0.0000, 5.0652]], "species": ["Ce", "Ce", "Tm", "F", "F", "F", "F", "F", "F", "F", "F"], "fractional_positions": [[0.1762, 0.1762, 0.1985], [0.8238, 0.8238, 0.8015], [0.5000, 0.5000, 0.5000], [0.0229, 0.0229, 0.3022], [0.2203, 0.2203, 0.7957], [0.3556, 0.3556, 0.5455], [0.4057, 0.4057, 0.0875], [0.5943, 0.5943, 0.9125], [0.6444, 0.6444, 0.4545], [0.7797, 0.7797, 0.2043], [0.9771, 0.9771, 0.6978]]}

=====

(Q)
{"formula": "Ce2TmF8", "functional": "GGA-PBE", "state": "optimized geometry", "mass_density_g_cm3": 6.0, "lattice_angstrom": [[6.3278, -2.0253, 0.0000], [6.3278, 2.0253, 0.0000], [-3.3147, 0.0000, 6.4997]], "species": ["Ce", "Ce", "Tm", "F", "F", "F", "F", "F", "F", "F", "F"], "fractional_positions": [[0.1858, 0.1858, 0.1918], [0.8142, 0.8142, 0.8082], [0.0000, 0.0000, 0.5000], [0.0160, 0.0160, 0.8180], [0.1849, 0.1849, 0.5307], [0.2901, 0.2901, 0.9420], [0.4027, 0.4027, 0.3620], [0.5973, 0.5973, 0.6380], [0.7099, 0.7099, 0.0580], [0.8151, 0.8151, 0.4693], [0.9840, 0.9840, 0.1820]]}

=====

Which structure is most stable? (P), by 29 meV per atom over the runner-up.

=====

(P)
{"formula": "Ce2ZnF8", "functional": "GGA-PBE", "state": "optimized geometry", "mass_density_g_cm3": 5.2, "lattice_angstrom": [[7.8514, -1.8355, 0.0000], [7.8514, 1.8355, 0.0000], [-0.5688, 0.0000, 5.5385]], "species": ["Ce", "Ce", "Zn", "F", "F", "F", "F", "F", "F", "F", "F"], "fractional_positions": [[0.1508, 0.1508, 0.1494], [0.8492, 0.8492, 0.8506], [0.5000, 0.5000, 0.5000], [0.0105, 0.0105, 0.2786], [0.2413, 0.2413, 0.8106], [0.3756, 0.3756, 0.5657], [0.3994, 0.3994, 0.0728], [0.6006, 0.6006, 0.9272], [0.6244, 0.6244, 0.4343], [0.7587, 0.7587, 0.1894], [0.9895, 0.9895, 0.7214]]}

=====

(Q)
{"formula": "Ce2ZnF8", "functional": "GGA-PBE", "state": "optimized geometry", "mass_density_g_cm3": 4.9, "lattice_angstrom": [[4.9981, -3.7370, 0.0000], [4.9981, 3.7370, 0.0000], [-1.5238, 0.0000, 4.4986]], "species": ["Ce", "Ce", "Zn", "F", "F", "F", "F", "F", "F", "F", "F"], "fractional_positions": [[0.1763, 0.1763, 0.3724], [0.8237, 0.8237, 0.6276], [0.5000, 0.5000, 0.0000], [0.0814, 0.0814, 0.8002], [0.1686, 0.5484, 0.7276], [0.3678, 0.3678, 0.2257], [0.4516, 0.8314, 0.2724], [0.5484, 0.1686, 0.7276], [0.6322, 0.6322, 0.7743], [0.8314, 0.4516, 0.2724], [0.9186, 0.9186, 0.1998]]}

=====

Which structure is most stable? (Q), by 91 meV per atom over the runner-up.

=====

(P)
{"formula": "Ce3GaFe", "functional": "GGA-PBE", "state": "optimized geometry", "mass_density_g_cm3": 7.2, "lattice_angstrom": [[5.0191, 0.0000, 0.0000], [0.0000, 5.0191, 0.0000], [0.0000, 0.0000, 5.0191]], "species": ["Ce", "Ce", "Ce", "Ga", "Fe"], "fractional_positions": [[0.0000, 0.0000, 0.5000], [0.0000, 0.5000, 0.0000], [0.5000, 0.0000, 0.0000], [0.5000, 0.5000, 0.5000], [0.0000, 0.0000, 0.0000]]}

=====

(Q)
{"formula": "Ce3GaFe", "functional": "GGA-PBE", "state": "optimized geometry", "mass_density_g_cm3": 7.8, "lattice_angstrom": [[6.6431, -2.2103, 0.0000], [6.6431, 2.2103, 0.0000], [-6.0721, 0.0000, 7.8796]], "species": ["Ce", "Ce", "Ce", "Ce", "Ce", "Ce", "Ga", "Ga", "Fe", "Fe"], "fractional_positions": [[0.1327, 0.1327, 0.2492], [0.1657, 0.1657, 0.6571], [0.3222, 0.3222, 0.0122], [0.6778, 0.6778, 0.9878], [0.8343, 0.8343, 0.3429], [0.8673, 0.8673, 0.7508], [0.4576, 0.4576, 0.6067], [0.5424, 0.5424, 0.3933], [0.0295, 0.0295, 0.7532], [0.9705, 0.9705, 0.2468]]}

=====

(R)
{"formula": "Ce3GaFe", "functional": "GGA-PBE", "state": "optimized geometry", "mass_density_g_cm3": 8.5, "lattice_angstrom": [[3.3530, 0.0000, 0.0000], [-0.0198, 7.7020, 0.0000], [-1.6646, -1.1776, 8.2967]], "species": ["Ce", "Ce", "Ce", "Ce", "Ce", "Ce", "Ga", "Ga", "Fe", "Fe"], "fractional_positions": [[0.0095, 0.1930, 0.0241], [0.1723, 0.8702, 0.3378], [0.2082, 0.3594, 0.4171], [0.7918, 0.6406, 0.5829], [0.8277, 0.1298, 0.6622], [0.9905, 0.8070, 0.9759], [0.4149, 0.4585, 0.8316], [0.5851, 0.5415, 0.1684], [0.3715, 0.9344, 0.7402], [0.6285, 0.0656, 0.2598]]}

=====

Which structure is most stable? (Q), by 26 meV per atom over the runner-up.

=====

(P)
{"formula": "CeGa3Fe", "functional": "GGA-PBE", "state": "optimized geometry", "mass_density_g_cm3": 7.0, "lattice_angstrom": [[4.5718, 0.0000, 0.0000], [0.0000, 4.5718, 0.0000], [0.0000, 0.0000, 4.5718]], "species": ["Ce", "Ga", "Ga", "Ga", "Fe"], "fractional_positions": [[0.0000, 0.0000, 0.0000], [0.0000, 0.5000, 0.5000], [0.5000, 0.0000, 0.5000], [0.5000, 0.5000, 0.0000], [0.5000, 0.5000, 0.5000]]}

=====

(Q)
{"formula": "CeGa3Fe", "functional": "GGA-PBE", "state": "optimized geometry", "mass_density_g_cm3": 7.5, "lattice_angstrom": [[8.2373, 0.0000, 0.0000], [0.0000, 4.0689, 0.0000], [0.0000, 0.0000, 10.6589]], "species": ["Ce", "Ce", "Ce", "Ce", "Ga", "Ga", "Ga", "Ga", "Ga", "Ga", "Ga", "Ga", "Ga", "Ga", "Ga", "Ga", "Fe", "Fe", "Fe", "Fe"], "fractional_positions": [[0.1975, 0.2500, 0.0033], [0.3025, 0.7500, 0.5033], [0.6975, 0.2500, 0.4967], [0.8025, 0.7500, 0.9967], [0.0524, 0.2500, 0.5860], [0.1045, 0.7500, 0.7794], [0.1480, 0.7500, 0.2169], [0.3520, 0.2500, 0.7169], [0.3955, 0.2500, 0.2794], [0.4476, 0.7500, 0.0860], [0.5524, 0.2500, 0.9140], [0.6045, 0.7500, 0.7206], [0.6480, 0.7500, 0.2831], [0.8520, 0.2500, 0.7831], [0.8955, 0.2500, 0.2206], [0.9476, 0.7500, 0.4140], [0.1245, 0.2500, 0.3603], [0.3755, 0.7500, 0.8603], [0.6245, 0.2500, 0.1397], [0.8755, 0.7500, 0.6397]]}

=====

Which structure is most stable? (Q), by 40 meV per atom over the runner-up.

=====

(P)
{"formula": "Ce2FeHg", "functional": "GGA-PBE", "state": "optimized geometry", "mass_density_g_cm3": 10.0, "lattice_angstrom": [[3.2233, 0.0000, 0.0000], [0.0000, 3.2233, 0.0000], [0.0000, 0.0000, 8.5772]], "species": ["Ce", "Ce", "Fe", "Hg"], "fractional_positions": [[0.0000, 0.0000, 0.2035], [0.0000, 0.0000, 0.7965], [0.5000, 0.5000, 0.0000], [0.5000, 0.5000, 0.5000]]}

=====

(Q)
{"formula": "Ce2FeHg", "functional": "GGA-PBE", "state": "optimized geometry", "mass_density_g_cm3": 9.0, "lattice_angstrom": [[1.9039, 1.0992, 7.9238], [-1.9039, 1.0992, 7.9238], [0.0000, -2.1984, 7.9238]], "species": ["Ce", "Ce", "Fe", "Hg"], "fractional_positions": [[0.2288, 0.2288, 0.2288], [0.7712, 0.7712, 0.7712], [0.5000, 0.5000, 0.5000], [0.0000, 0.0000, 0.0000]]}

=====

Which structure is most stable? (P), by 18 meV per atom over the runner-up.

=====

(P)
{"formula": "CeHo2Fe", "functional": "GGA-PBE", "state": "optimized geometry", "mass_density_g_cm3": 8.8, "lattice_angstrom": [[3.3171, 0.0000, 0.0000], [0.0000, 3.3171, 0.0000], [0.0000, 0.0000, 8.9774]], "species": ["Ce", "Ho", "Ho", "Fe"], "fractional_positions": [[0.0000, 0.0000, 0.0000], [0.5000, 0.5000, 0.3214], [0.5000, 0.5000, 0.6786], [0.0000, 0.0000, 0.5000]]}

=====

(Q)
{"formula": "CeHo2Fe", "functional": "GGA-PBE", "state": "optimized geometry", "mass_density_g_cm3": 8.6, "lattice_angstrom": [[6.7914, 0.0000, 0.0000], [0.0000, 9.4401, 0.0000], [0.0000, 0.0000, 6.3177]], "species": ["Ce", "Ce", "Ce", "Ce", "Ho", "Ho", "Ho", "Ho", "Ho", "Ho", "Ho", "Ho", "Fe", "Fe", "Fe", "Fe"], "fractional_positions": [[0.0712, 0.2500, 0.1337], [0.4288, 0.7500, 0.6337], [0.5712, 0.2500, 0.3663], [0.9288, 0.7500, 0.8663], [0.1675, 0.0648, 0.6719], [0.1675, 0.4352, 0.6719], [0.3325, 0.5648, 0.1719], [0.3325, 0.9352, 0.1719], [0.6675, 0.0648, 0.8281], [0.6675, 0.4352, 0.8281], [0.8325, 0.5648, 0.3281], [0.8325, 0.9352, 0.3281], [0.1443, 0.7500, 0.4903], [0.3557, 0.2500, 0.9903], [0.6443, 0.7500, 0.0097], [0.8557, 0.2500, 0.5097]]}

=====

Which structure is most stable? (Q), by 244 meV per atom over the runner-up.